This record from Alexandria via LeMat-Bulk describes an optimized crystal structure of CaBeO2F. The functional is PBE.

Lattice parameters (Å, degrees): 3.4750 3.4750 3.9631 90.00 90.00 90.00
With the nearest neighbours (Å) after each atom.
Space group P4/mmm (No. 123)
One atom of each set of equivalent atoms:
Ca 0.0000 0.0000 0.0000  4 F 2.46, 8 O 2.64
Be 0.5000 0.5000 0.5000  4 O 1.74
O 0.0000 0.5000 0.5000  2 Be 1.74
F 0.5000 0.5000 0.0000  2 Be 1.98

For the magnetic moment, the calculation gives 0.9 μB per formula unit. The value obtained for the total energy is -29.81 eV for the cell shown. Its crystal system is tetragonal. Its density of states at the Fermi level is 0.196 states/eV per atom.